The following is a DFT calculation (GGA-PBE) of crystalline Pm2Nd5Ru4 at its relaxed geometry.

Its mass density is 7.53 Mg/m³. As for the total energy: -6.35 eV/atom. As for the crystal system: monoclinic.

The structure belongs to space group C2/m (No. 12); the cell edges are 24.501, 3.559 and 7.161 Å and the angles 90.00°, 90.50° and 90.00°. The inequivalent atoms are Pm at (0.083, 0.000, 0.129), Nd at (0.000, 0.500, 0.500), Nd at (0.132, 0.000, 0.657), Nd at (0.231, 0.000, 0.210), Ru at (0.027, 0.000, 0.801) and Ru at (0.168, 0.500, 0.958).

---

The following is a DFT calculation (GGA-PBE) of crystalline PmNd2Ru at its relaxed geometry.

Its mass density is 6.90 Mg/m³. As for the total energy: -5.69 eV/atom. The value obtained for the energy relative to the lowest polymorph listed for this composition is 9.141 kcal/mol of atoms. As for the crystal system: trigonal.

The structure belongs to space group R-3m (No. 166, hexagonal axes); the cell edges are 3.7375, 3.7375 and 31.9203 Å and the angles 90.00°, 90.00° and 120.00°. The inequivalent atoms are Pm at (0.0000, 0.0000, 0.0000), Nd at (0.0000, 0.0000, 0.1103) and Ru at (0.0000, 0.0000, 0.5000).

---

The following is a DFT calculation (GGA-PBE) of crystalline PmNd2Ru at its relaxed geometry.

Its mass density is 7.61 Mg/m³. As for the total energy: -5.94 eV/atom. The value obtained for the energy relative to the lowest polymorph listed for this composition is 3.430 kcal/mol of atoms. As for the crystal system: tetragonal.

The structure belongs to space group P4/mmm (No. 123); the cell edges are 3.531, 3.531 and 9.352 Å and the angles 90.00°, 90.00° and 90.00°. The inequivalent atoms are Pm at (0.000, 0.000, 0.000), Nd at (0.500, 0.500, 0.317) and Ru at (0.000, 0.000, 0.500).

---

The following is a DFT calculation (GGA-PBE) of crystalline PmNd4Ru at its relaxed geometry.

Its mass density is 7.08 Mg/m³. As for the total energy: -5.56 eV/atom. As for the crystal system: monoclinic.

The structure belongs to space group C2/m (No. 12); the cell edges are 17.648, 7.616 and 6.124 Å and the angles 90.00°, 110.28° and 90.00°. The inequivalent atoms are Pm at (0.200, 0.000, 0.200), Nd at (0.000, 0.207, 0.000), Nd at (0.114, 0.253, 0.614), Nd at (0.171, 0.500, 0.171) and Ru at (0.001, 0.500, 0.741).

---

The following is a DFT calculation (GGA-PBE) of crystalline Pm2NdRu at its relaxed geometry.

Its mass density is 7.63 Mg/m³. As for the total energy: -6.07 eV/atom. The value obtained for the energy relative to the lowest polymorph listed for this composition is 0.477 kcal/mol of atoms. As for the crystal system: orthorhombic.

The structure belongs to space group Cmcm (No. 63); the cell edges are 3.980, 12.300 and 9.514 Å and the angles 90.00°, 90.00° and 90.00°. The inequivalent atoms are Pm at (0.000, 0.143, 0.070), Nd at (0.000, 0.419, 0.250) and Ru at (0.000, 0.248, 0.750).

---

The following is a DFT calculation (GGA-PBE) of crystalline PmNd3Ru8 at its relaxed geometry.

Its mass density is 10.19 Mg/m³. As for the total energy: -7.92 eV/atom. As for the crystal system: trigonal.

The structure belongs to space group R3m (No. 160, hexagonal axes); the cell edges are 5.4166, 5.4166 and 26.6687 Å and the angles 90.00°, 90.00° and 120.00°. The inequivalent atoms are Pm at (0.0000, 0.0000, 0.0000), Nd at (0.0000, 0.0000, 0.1247), Nd at (0.0000, 0.0000, 0.4999), Nd at (0.0000, 0.0000, 0.6247), Ru at (0.0000, 0.0000, 0.3176), Ru at (0.0000, 0.0000, 0.8175), Ru at (0.1707, 0.3415, 0.8968) and Ru at (0.1713, 0.3425, 0.3962).